A plane-wave DFT calculation with GGA-PBE was carried out for an optimized crystal structure of Pm3NdSm5.

CIF file:
```
data_Pm3NdSm5
_chemical_formula_sum 'Pm12 Nd4 Sm20'
_cell_length_a 20.5846
_cell_length_b 6.2015
_cell_length_c 11.6714
_cell_angle_alpha 90.00
_cell_angle_beta 121.96
_cell_angle_gamma 90.00
_symmetry_space_group_name_H-M 'C 1 2/c 1'
_symmetry_Int_Tables_number 15
loop_
_symmetry_equiv_pos_as_xyz
'x,y,z'
'-x,-y,-z'
'-x,y,-z+1/2'
'x,-y,z+1/2'
'x+1/2,y+1/2,z'
'-x+1/2,-y+1/2,-z'
'-x+1/2,y+1/2,-z+1/2'
'x+1/2,-y+1/2,z+1/2'
loop_
_atom_site_label
_atom_site_type_symbol
_atom_site_fract_x
_atom_site_fract_y
_atom_site_fract_z
Pm1 Pm 0.0000 0.0000 0.0000
Pm2 Pm 0.1806 0.2212 0.0333
Nd1 Nd 0.0000 0.1048 0.7500
Sm1 Sm 0.0000 0.4119 0.2500
Sm2 Sm 0.1397 0.3188 0.6453
Sm3 Sm 0.1792 0.2013 0.3375
```

Properties
Formation enthalpy at 0 K = 0.279 eV per atom

A plane-wave DFT calculation with GGA-PBE was carried out for an optimized crystal structure of PaInSnAu.

CIF file:
```
data_PaInSnAu
_chemical_formula_sum 'Pa4 In4 Sn4 Au4'
_cell_length_a 7.2595
_cell_length_b 7.2595
_cell_length_c 7.2595
_cell_angle_alpha 90.00
_cell_angle_beta 90.00
_cell_angle_gamma 90.00
_symmetry_space_group_name_H-M 'F -4 3 m'
_symmetry_Int_Tables_number 216
_symmetry_space_group_name_Hall 'F -4 2 3'
loop_
_atom_site_label
_atom_site_type_symbol
_atom_site_fract_x
_atom_site_fract_y
_atom_site_fract_z
Pa1 Pa 0.0000 0.0000 0.0000
In1 In 0.0000 0.0000 0.5000
Sn1 Sn 0.2500 0.2500 0.2500
Au1 Au 0.2500 0.2500 0.7500
```

Properties
Formation enthalpy at 0 K = -0.126 eV per atom

A plane-wave DFT calculation with GGA-PBE was carried out for an optimized crystal structure of CeEuMg2.

CIF file:
```
data_CeEuMg2
_chemical_formula_sum 'Ce1 Eu1 Mg2'
_cell_length_a 3.9116
_cell_length_b 3.9116
_cell_length_c 7.9241
_cell_angle_alpha 90.00
_cell_angle_beta 90.00
_cell_angle_gamma 90.00
_symmetry_space_group_name_H-M 'P 4/m m m'
_symmetry_Int_Tables_number 123
_symmetry_space_group_name_Hall '-P 4 2'
loop_
_atom_site_label
_atom_site_type_symbol
_atom_site_fract_x
_atom_site_fract_y
_atom_site_fract_z
Ce1 Ce 0.0000 0.0000 0.0000
Eu1 Eu 0.0000 0.0000 0.5000
Mg1 Mg 0.5000 0.5000 0.2384
```

Properties
Formation enthalpy at 0 K = 0.016 eV per atom

A plane-wave DFT calculation with GGA-PBE was carried out for an optimized crystal structure of BaEuSe.

CIF file:
```
data_BaEuSe
_chemical_formula_sum 'Ba1 Eu1 Se1'
_cell_length_a 4.4018
_cell_length_b 4.4018
_cell_length_c 7.5726
_cell_angle_alpha 90.00
_cell_angle_beta 90.00
_cell_angle_gamma 120.00
_symmetry_space_group_name_H-M 'P 3 m 1'
_symmetry_Int_Tables_number 156
loop_
_symmetry_equiv_pos_as_xyz
'x,y,z'
'-y,x-y,z'
'-x+y,-x,z'
'-y,-x,z'
'-x+y,y,z'
'x,x-y,z'
loop_
_atom_site_label
_atom_site_type_symbol
_atom_site_fract_x
_atom_site_fract_y
_atom_site_fract_z
Ba1 Ba 0.0000 0.0000 0.0000
Eu1 Eu 0.6667 0.3333 0.5045
Se1 Se 0.3333 0.6667 0.7245
```

Properties
E_tot = -0.47417 Ry per atom

A plane-wave DFT calculation with GGA-PBE was carried out for an optimized crystal structure of YLuAlZn.

CIF file:
```
data_YLuAlZn
_chemical_formula_sum 'Y4 Lu4 Al4 Zn4'
_cell_length_a 7.1127
_cell_length_b 7.1127
_cell_length_c 7.1127
_cell_angle_alpha 90.00
_cell_angle_beta 90.00
_cell_angle_gamma 90.00
_symmetry_space_group_name_H-M 'F -4 3 m'
_symmetry_Int_Tables_number 216
_symmetry_space_group_name_Hall 'F -4 2 3'
loop_
_atom_site_label
_atom_site_type_symbol
_atom_site_fract_x
_atom_site_fract_y
_atom_site_fract_z
Y1 Y 0.0000 0.0000 0.0000
Lu1 Lu 0.0000 0.0000 0.5000
Al1 Al 0.2500 0.2500 0.7500
Zn1 Zn 0.2500 0.2500 0.2500
```

Properties
Formation enthalpy at 0 K = -0.379 eV per atom

A plane-wave DFT calculation with GGA-PBE was carried out for an optimized crystal structure of Si2PtPb.

CIF file:
```
data_Si2PtPb
_chemical_formula_sum 'Si2 Pt1 Pb1'
_cell_length_a 3.8225
_cell_length_b 4.3914
_cell_length_c 4.5430
_cell_angle_alpha 90.00
_cell_angle_beta 90.00
_cell_angle_gamma 90.00
_symmetry_space_group_name_H-M 'P m m m'
_symmetry_Int_Tables_number 47
loop_
_symmetry_equiv_pos_as_xyz
'x,y,z'
'-x,-y,-z'
'-x,-y,z'
'x,y,-z'
'x,-y,-z'
'-x,y,z'
'-x,y,-z'
'x,-y,z'
loop_
_atom_site_label
_atom_site_type_symbol
_atom_site_fract_x
_atom_site_fract_y
_atom_site_fract_z
Si1 Si 0.0000 0.0000 0.0000
Si2 Si 0.5000 0.5000 0.0000
Pt1 Pt 0.0000 0.5000 0.5000
Pb1 Pb 0.5000 0.0000 0.5000
```

Properties
E_tot = -0.34767 Ry per atom

A plane-wave DFT calculation with GGA-PBE was carried out for an optimized crystal structure of NaSbSe2.

CIF file:
```
data_NaSbSe2
_chemical_formula_sum 'Na3 Sb3 Se6'
_cell_length_a 4.1215
_cell_length_b 4.1215
_cell_length_c 21.9716
_cell_angle_alpha 90.00
_cell_angle_beta 90.00
_cell_angle_gamma 120.00
_symmetry_space_group_name_H-M 'R 3 m'
_symmetry_Int_Tables_number 160
_symmetry_space_group_name_Hall 'R 3 -2"'
loop_
_atom_site_label
_atom_site_type_symbol
_atom_site_fract_x
_atom_site_fract_y
_atom_site_fract_z
Na1 Na 0.0000 0.0000 0.0000
Sb1 Sb 0.0000 0.0000 0.1691
Se1 Se 0.0000 0.0000 0.5786
Se2 Se 0.0000 0.0000 0.7595
```

Properties
E_tot = -0.27338 Ry per atom

A plane-wave DFT calculation with GGA-PBE was carried out for an optimized crystal structure of AcLa5Er6.

CIF file:
```
data_AcLa5Er6
_chemical_formula_sum 'Ac2 La10 Er12'
_cell_length_a 16.6450
_cell_length_b 9.8787
_cell_length_c 5.2709
_cell_angle_alpha 90.00
_cell_angle_beta 108.39
_cell_angle_gamma 90.00
_symmetry_space_group_name_H-M 'C 1 2/m 1'
_symmetry_Int_Tables_number 12
loop_
_symmetry_equiv_pos_as_xyz
'x,y,z'
'-x,-y,-z'
'-x,y,-z'
'x,-y,z'
'x+1/2,y+1/2,z'
'-x+1/2,-y+1/2,-z'
'-x+1/2,y+1/2,-z'
'x+1/2,-y+1/2,z'
loop_
_atom_site_label
_atom_site_type_symbol
_atom_site_fract_x
_atom_site_fract_y
_atom_site_fract_z
Ac1 Ac 0.0000 0.0000 0.0000
La1 La 0.0000 0.5000 0.0000
La2 La 0.1666 0.5000 0.6665
La3 La 0.1681 0.0000 0.6680
Er1 Er 0.0000 0.2537 0.5000
Er2 Er 0.1678 0.2518 0.1678
```

Properties
Formation enthalpy at 0 K = 0.031 eV per atom

A plane-wave DFT calculation with GGA-PBE was carried out for an optimized crystal structure of LiCaPmAu.

CIF file:
```
data_LiCaPmAu
_chemical_formula_sum 'Li4 Ca4 Pm4 Au4'
_cell_length_a 7.3721
_cell_length_b 7.3721
_cell_length_c 7.3721
_cell_angle_alpha 90.00
_cell_angle_beta 90.00
_cell_angle_gamma 90.00
_symmetry_space_group_name_H-M 'F -4 3 m'
_symmetry_Int_Tables_number 216
_symmetry_space_group_name_Hall 'F -4 2 3'
loop_
_atom_site_label
_atom_site_type_symbol
_atom_site_fract_x
_atom_site_fract_y
_atom_site_fract_z
Li1 Li 0.0000 0.0000 0.0000
Ca1 Ca 0.2500 0.2500 0.7500
Pm1 Pm 0.2500 0.2500 0.2500
Au1 Au 0.0000 0.0000 0.5000
```

Properties
Formation enthalpy at 0 K = -0.397 eV per atom

A plane-wave DFT calculation with GGA-PBE was carried out for an optimized crystal structure of AlGeAu.

CIF file:
```
data_AlGeAu
_chemical_formula_sum 'Al2 Ge2 Au2'
_cell_length_a 2.8557
_cell_length_b 4.1951
_cell_length_c 9.7768
_cell_angle_alpha 90.00
_cell_angle_beta 97.81
_cell_angle_gamma 90.00
_symmetry_space_group_name_H-M 'P 1 21 1'
_symmetry_Int_Tables_number 4
loop_
_symmetry_equiv_pos_as_xyz
'x,y,z'
'-x,y+1/2,-z'
loop_
_atom_site_label
_atom_site_type_symbol
_atom_site_fract_x
_atom_site_fract_y
_atom_site_fract_z
Al1 Al 0.1403 0.0000 0.3041
Ge1 Ge 0.4656 0.5033 0.9278
Au1 Au 0.3166 0.0002 0.6075
```

Properties
Formation enthalpy at 0 K = -0.098 eV per atom

A plane-wave DFT calculation with GGA-PBE was carried out for an optimized crystal structure of SiPbN3.

CIF file:
```
data_SiPbN3
_chemical_formula_sum 'Si1 Pb1 N3'
_cell_length_a 4.3191
_cell_length_b 4.3191
_cell_length_c 4.3191
_cell_angle_alpha 90.00
_cell_angle_beta 90.00
_cell_angle_gamma 90.00
_symmetry_space_group_name_H-M 'P m -3 m'
_symmetry_Int_Tables_number 221
_symmetry_space_group_name_Hall '-P 4 2 3'
loop_
_atom_site_label
_atom_site_type_symbol
_atom_site_fract_x
_atom_site_fract_y
_atom_site_fract_z
Si1 Si 0.0000 0.0000 0.0000
Pb1 Pb 0.5000 0.5000 0.5000
N1 N 0.0000 0.5000 0.5000
```

Properties
E_tot = -0.32302 Ry per atom

A plane-wave DFT calculation with GGA-PBE was carried out for an optimized crystal structure of Rb2Er2SnS6.

CIF file:
```
data_Rb2Er2SnS6
_chemical_formula_sum 'Rb4 Er4 Sn2 S12'
_cell_length_a 6.8132
_cell_length_b 11.7503
_cell_length_c 8.2498
_cell_angle_alpha 90.00
_cell_angle_beta 106.30
_cell_angle_gamma 90.00
_symmetry_space_group_name_H-M 'C 1 2/m 1'
_symmetry_Int_Tables_number 12
loop_
_symmetry_equiv_pos_as_xyz
'x,y,z'
'-x,-y,-z'
'-x,y,-z'
'x,-y,z'
'x+1/2,y+1/2,z'
'-x+1/2,-y+1/2,-z'
'-x+1/2,y+1/2,-z'
'x+1/2,-y+1/2,z'
loop_
_atom_site_label
_atom_site_type_symbol
_atom_site_fract_x
_atom_site_fract_y
_atom_site_fract_z
Rb1 Rb 0.0000 0.1695 0.0000
Er1 Er 0.0000 0.3325 0.5000
Sn1 Sn 0.0000 0.0000 0.5000
S1 S 0.2244 0.1605 0.6858
S2 S 0.2458 0.5000 0.6833
```

Properties
E_tot = -0.37272 Ry per atom